*i*
Material: AlZn4Cd
Method: DFT, PBE
State: optimized geometry

Output
space-group type	Cmcm, No. 63
total magnetization	0.00	μB/cell
density of states at the Fermi level	1.67	states/eV/f.u.

The structure in CIF format:
```
data_AlZn4Cd
_space_group_name_H-M_alt 'P 1'
_space_group_IT_number 1
_cell_length_a 3.938
_cell_length_b 6.950
_cell_length_c 8.053
_cell_angle_alpha 90.00
_cell_angle_beta 104.15
_cell_angle_gamma 90.00
loop_
_space_group_symop_operation_xyz
'x,y,z'
loop_
_atom_site_label
_atom_site_type_symbol
_atom_site_fract_x
_atom_site_fract_y
_atom_site_fract_z
_atom_site_occupancy
Al1 Al 0.246 0.750 0.493 1
Al2 Al 0.754 0.250 0.507 1
Zn1 Zn 0.500 0.500 0.000 1
Zn2 Zn 0.500 0.000 0.000 1
Zn3 Zn 0.664 0.940 0.328 1
Zn4 Zn 0.336 0.060 0.672 1
Zn5 Zn 0.336 0.440 0.672 1
Zn6 Zn 0.664 0.560 0.328 1
Zn7 Zn 0.072 0.750 0.145 1
Zn8 Zn 0.928 0.250 0.855 1
Cd1 Cd 0.106 0.250 0.211 1
Cd2 Cd 0.894 0.750 0.789 1
```

*ii*
Material: AlZn4Cd
Method: DFT, PBE
State: optimized geometry

Output
space-group type	F-43m, No. 216
total magnetization	0.00	μB/cell
density of states at the Fermi level	1.55	states/eV/f.u.

The structure in CIF format:
```
data_AlZn4Cd
_space_group_name_H-M_alt 'P 1'
_space_group_IT_number 1
_cell_length_a 5.239
_cell_length_b 5.239
_cell_length_c 5.239
_cell_angle_alpha 60.00
_cell_angle_beta 60.00
_cell_angle_gamma 60.00
loop_
_space_group_symop_operation_xyz
'x,y,z'
loop_
_atom_site_label
_atom_site_type_symbol
_atom_site_fract_x
_atom_site_fract_y
_atom_site_fract_z
_atom_site_occupancy
Al1 Al 0.250 0.250 0.250 1
Zn1 Zn 0.625 0.625 0.126 1
Zn2 Zn 0.625 0.126 0.625 1
Zn3 Zn 0.625 0.625 0.625 1
Zn4 Zn 0.126 0.625 0.625 1
Cd1 Cd 0.000 0.000 0.000 1
```

Best to worst by energy: *ii*, *i*.

*i*
Material: Al2ZnCd2
Method: DFT, PBE
State: optimized geometry

Output
space-group type	I4/mmm, No. 139
total magnetization	0.00	μB/cell
density of states at the Fermi level	1.95	states/eV/f.u.

The structure in CIF format:
```
data_Al2ZnCd2
_space_group_name_H-M_alt 'P 1'
_space_group_IT_number 1
_cell_length_a 4.149
_cell_length_b 4.149
_cell_length_c 6.989
_cell_angle_alpha 72.73
_cell_angle_beta 72.73
_cell_angle_gamma 90.00
loop_
_space_group_symop_operation_xyz
'x,y,z'
loop_
_atom_site_label
_atom_site_type_symbol
_atom_site_fract_x
_atom_site_fract_y
_atom_site_fract_z
_atom_site_occupancy
Zn1 Zn 0.000 0.000 0.000 1
Al1 Al 0.402 0.402 0.197 1
Al2 Al 0.598 0.598 0.803 1
Cd1 Cd 0.750 0.250 0.500 1
Cd2 Cd 0.250 0.750 0.500 1
```

*ii*
Material: Al2ZnCd2
Method: DFT, PBE
State: optimized geometry

Output
space-group type	P4/mbm, No. 127
total magnetization	0.00	μB/cell
density of states at the Fermi level	1.58	states/eV/f.u.

The structure in CIF format:
```
data_Al2ZnCd2
_space_group_name_H-M_alt 'P 1'
_space_group_IT_number 1
_cell_length_a 8.398
_cell_length_b 8.398
_cell_length_c 2.989
_cell_angle_alpha 90.00
_cell_angle_beta 90.00
_cell_angle_gamma 90.00
loop_
_space_group_symop_operation_xyz
'x,y,z'
loop_
_atom_site_label
_atom_site_type_symbol
_atom_site_fract_x
_atom_site_fract_y
_atom_site_fract_z
_atom_site_occupancy
Zn1 Zn 0.000 0.000 0.000 1
Zn2 Zn 0.500 0.500 0.000 1
Al1 Al 0.114 0.614 0.500 1
Al2 Al 0.614 0.886 0.500 1
Al3 Al 0.886 0.386 0.500 1
Al4 Al 0.386 0.114 0.500 1
Cd1 Cd 0.316 0.816 0.000 1
Cd2 Cd 0.816 0.684 0.000 1
Cd3 Cd 0.684 0.184 0.000 1
Cd4 Cd 0.184 0.316 0.000 1
```

Best to worst by energy: *ii*, *i*.

*i*
Material: ZrAlCd2
Method: DFT, PBE
State: optimized geometry

Output
space-group type	I-4m2, No. 119
total magnetization	0.00	μB/cell
density of states at the Fermi level	3.36	states/eV/f.u.

The structure in CIF format:
```
data_ZrAlCd2
_space_group_name_H-M_alt 'P 1'
_space_group_IT_number 1
_cell_length_a 5.346
_cell_length_b 5.346
_cell_length_c 5.346
_cell_angle_alpha 131.89
_cell_angle_beta 131.89
_cell_angle_gamma 70.40
loop_
_space_group_symop_operation_xyz
'x,y,z'
loop_
_atom_site_label
_atom_site_type_symbol
_atom_site_fract_x
_atom_site_fract_y
_atom_site_fract_z
_atom_site_occupancy
Al1 Al 0.750 0.250 0.500 1
Zr1 Zr 0.500 0.500 0.000 1
Cd1 Cd 0.000 0.000 0.000 1
Cd2 Cd 0.250 0.750 0.500 1
```

*ii*
Material: ZrAlCd2
Method: DFT, PBE
State: optimized geometry

Output
space-group type	Cm, No. 8
total magnetization	0.00	μB/cell
density of states at the Fermi level	1.88	states/eV/f.u.

The structure in CIF format:
```
data_ZrAlCd2
_space_group_name_H-M_alt 'P 1'
_space_group_IT_number 1
_cell_length_a 5.802
_cell_length_b 5.802
_cell_length_c 5.731
_cell_angle_alpha 63.29
_cell_angle_beta 63.29
_cell_angle_gamma 29.10
loop_
_space_group_symop_operation_xyz
'x,y,z'
loop_
_atom_site_label
_atom_site_type_symbol
_atom_site_fract_x
_atom_site_fract_y
_atom_site_fract_z
_atom_site_occupancy
Al1 Al 0.248 0.248 0.353 1
Zr1 Zr 0.506 0.506 0.399 1
Cd1 Cd 0.994 0.994 0.914 1
Cd2 Cd 0.751 0.751 0.833 1
```

Best to worst by energy: *ii*, *i*.

*i*
Material: ZrAlCd2
Method: DFT, PBE
State: optimized geometry

Output
space-group type	F-43m, No. 216
total magnetization	0.00	μB/cell
density of states at the Fermi level	2.78	states/eV/f.u.

The structure in CIF format:
```
data_ZrAlCd2
_space_group_name_H-M_alt 'P 1'
_space_group_IT_number 1
_cell_length_a 4.875
_cell_length_b 4.875
_cell_length_c 4.875
_cell_angle_alpha 60.00
_cell_angle_beta 60.00
_cell_angle_gamma 60.00
loop_
_space_group_symop_operation_xyz
'x,y,z'
loop_
_atom_site_label
_atom_site_type_symbol
_atom_site_fract_x
_atom_site_fract_y
_atom_site_fract_z
_atom_site_occupancy
Al1 Al 0.500 0.500 0.500 1
Zr1 Zr 0.750 0.750 0.750 1
Cd1 Cd 0.000 0.000 0.000 1
Cd2 Cd 0.250 0.250 0.250 1
```

*ii*
Material: ZrAlCd2
Method: DFT, PBE
State: optimized geometry

Output
space-group type	I4/mmm, No. 139
total magnetization	0.00	μB/cell
density of states at the Fermi level	1.91	states/eV/f.u.

The structure in CIF format:
```
data_ZrAlCd2
_space_group_name_H-M_alt 'P 1'
_space_group_IT_number 1
_cell_length_a 5.548
_cell_length_b 5.548
_cell_length_c 5.548
_cell_angle_alpha 135.67
_cell_angle_beta 135.67
_cell_angle_gamma 64.50
loop_
_space_group_symop_operation_xyz
'x,y,z'
loop_
_atom_site_label
_atom_site_type_symbol
_atom_site_fract_x
_atom_site_fract_y
_atom_site_fract_z
_atom_site_occupancy
Al1 Al 0.750 0.250 0.500 1
Zr1 Zr 0.250 0.750 0.500 1
Cd1 Cd 0.000 0.000 0.000 1
Cd2 Cd 0.500 0.500 0.000 1
```

*iii*
Material: ZrAlCd2
Method: DFT, PBE
State: optimized geometry

Output
space-group type	Pm, No. 6
total magnetization	0.00	μB/cell
density of states at the Fermi level	2.59	states/eV/f.u.

The structure in CIF format:
```
data_ZrAlCd2
_space_group_name_H-M_alt 'P 1'
_space_group_IT_number 1
_cell_length_a 4.436
_cell_length_b 3.091
_cell_length_c 6.228
_cell_angle_alpha 75.56
_cell_angle_beta 90.00
_cell_angle_gamma 90.00
loop_
_space_group_symop_operation_xyz
'x,y,z'
loop_
_atom_site_label
_atom_site_type_symbol
_atom_site_fract_x
_atom_site_fract_y
_atom_site_fract_z
_atom_site_occupancy
Al1 Al 0.500 0.952 0.718 1
Zr1 Zr 0.000 0.546 0.534 1
Cd1 Cd 0.000 0.809 0.007 1
Cd2 Cd 0.500 0.193 0.241 1
```

*iv*
Material: ZrAlCd2
Method: DFT, PBE
State: optimized geometry

Output
space-group type	Pmmm, No. 47
total magnetization	0.00	μB/cell
density of states at the Fermi level	2.42	states/eV/f.u.

The structure in CIF format:
```
data_ZrAlCd2
_space_group_name_H-M_alt 'P 1'
_space_group_IT_number 1
_cell_length_a 3.126
_cell_length_b 4.415
_cell_length_c 6.032
_cell_angle_alpha 90.00
_cell_angle_beta 90.00
_cell_angle_gamma 90.00
loop_
_space_group_symop_operation_xyz
'x,y,z'
loop_
_atom_site_label
_atom_site_type_symbol
_atom_site_fract_x
_atom_site_fract_y
_atom_site_fract_z
_atom_site_occupancy
Al1 Al 0.500 0.500 0.750 1
Zr1 Zr 0.500 0.500 0.250 1
Cd1 Cd 0.000 0.000 0.996 1
Cd2 Cd 0.000 0.000 0.504 1
```

Best to worst by energy: *iii*, *ii*, *iv*, *i*.

*i*
Material: ZrAlCd2
Method: DFT, PBE
State: optimized geometry

Output
space-group type	P4/mmm, No. 123
total magnetization	0.00	μB/cell
density of states at the Fermi level	1.81	states/eV/f.u.

The structure in CIF format:
```
data_ZrAlCd2
_space_group_name_H-M_alt 'P 1'
_space_group_IT_number 1
_cell_length_a 4.498
_cell_length_b 4.229
_cell_length_c 4.229
_cell_angle_alpha 90.00
_cell_angle_beta 90.00
_cell_angle_gamma 90.00
loop_
_space_group_symop_operation_xyz
'x,y,z'
loop_
_atom_site_label
_atom_site_type_symbol
_atom_site_fract_x
_atom_site_fract_y
_atom_site_fract_z
_atom_site_occupancy
Al1 Al 0.500 0.000 0.500 1
Zr1 Zr 0.500 0.500 0.000 1
Cd1 Cd 0.000 0.000 0.000 1
Cd2 Cd 0.000 0.500 0.500 1
```

*ii*
Material: ZrAlCd2
Method: DFT, PBE
State: optimized geometry

Output
space-group type	P2/m, No. 10
total magnetization	0.00	μB/cell
density of states at the Fermi level	2.46	states/eV/f.u.

The structure in CIF format:
```
data_ZrAlCd2
_space_group_name_H-M_alt 'P 1'
_space_group_IT_number 1
_cell_length_a 3.015
_cell_length_b 5.290
_cell_length_c 6.205
_cell_angle_alpha 57.42
_cell_angle_beta 90.00
_cell_angle_gamma 90.00
loop_
_space_group_symop_operation_xyz
'x,y,z'
loop_
_atom_site_label
_atom_site_type_symbol
_atom_site_fract_x
_atom_site_fract_y
_atom_site_fract_z
_atom_site_occupancy
Al1 Al 0.000 0.000 0.500 1
Zr1 Zr 0.500 0.500 0.500 1
Cd1 Cd 0.000 0.000 0.000 1
Cd2 Cd 0.500 0.500 0.000 1
```

*iii*
Material: ZrAlCd2
Method: DFT, PBE
State: optimized geometry

Output
space-group type	Fm-3m, No. 225
total magnetization	0.00	μB/cell
density of states at the Fermi level	4.45	states/eV/f.u.

The structure in CIF format:
```
data_ZrAlCd2
_space_group_name_H-M_alt 'P 1'
_space_group_IT_number 1
_cell_length_a 4.880
_cell_length_b 4.880
_cell_length_c 4.880
_cell_angle_alpha 60.00
_cell_angle_beta 60.00
_cell_angle_gamma 60.00
loop_
_space_group_symop_operation_xyz
'x,y,z'
loop_
_atom_site_label
_atom_site_type_symbol
_atom_site_fract_x
_atom_site_fract_y
_atom_site_fract_z
_atom_site_occupancy
Al1 Al 0.000 0.000 0.000 1
Zr1 Zr 0.500 0.500 0.500 1
Cd1 Cd 0.250 0.250 0.250 1
Cd2 Cd 0.750 0.750 0.750 1
```

*iv*
Material: ZrAlCd2
Method: DFT, PBE
State: optimized geometry

Output
space-group type	I-42d, No. 122
total magnetization	0.00	μB/cell
density of states at the Fermi level	3.87	states/eV/f.u.

The structure in CIF format:
```
data_ZrAlCd2
_space_group_name_H-M_alt 'P 1'
_space_group_IT_number 1
_cell_length_a 7.813
_cell_length_b 7.813
_cell_length_c 6.245
_cell_angle_alpha 51.28
_cell_angle_beta 51.28
_cell_angle_gamma 90.00
loop_
_space_group_symop_operation_xyz
'x,y,z'
loop_
_atom_site_label
_atom_site_type_symbol
_atom_site_fract_x
_atom_site_fract_y
_atom_site_fract_z
_atom_site_occupancy
Al1 Al 0.500 0.500 0.000 1
Al2 Al 0.250 0.750 0.500 1
Zr1 Zr 0.000 0.000 0.000 1
Zr2 Zr 0.750 0.250 0.500 1
Cd1 Cd 0.595 0.125 0.250 1
Cd2 Cd 0.155 0.625 0.250 1
Cd3 Cd 0.375 0.405 0.750 1
Cd4 Cd 0.875 0.845 0.750 1
```

Best to worst by energy: *i*, *ii*, *iii*, *iv*.

*i*
Material: ZrAlCd2
Method: DFT, PBE
State: optimized geometry

Output
space-group type	Pmm2, No. 25
total magnetization	0.00	μB/cell
density of states at the Fermi level	2.73	states/eV/f.u.

The structure in CIF format:
```
data_ZrAlCd2
_space_group_name_H-M_alt 'P 1'
_space_group_IT_number 1
_cell_length_a 3.082
_cell_length_b 4.250
_cell_length_c 6.364
_cell_angle_alpha 90.00
_cell_angle_beta 90.00
_cell_angle_gamma 90.00
loop_
_space_group_symop_operation_xyz
'x,y,z'
loop_
_atom_site_label
_atom_site_type_symbol
_atom_site_fract_x
_atom_site_fract_y
_atom_site_fract_z
_atom_site_occupancy
Al1 Al 0.500 0.500 0.734 1
Zr1 Zr 0.000 0.000 0.517 1
Cd1 Cd 0.000 0.000 0.000 1
Cd2 Cd 0.500 0.500 0.248 1
```

*ii*
Material: ZrAlCd2
Method: DFT, PBE
State: optimized geometry

Output
space-group type	C2/m, No. 12
total magnetization	0.00	μB/cell
density of states at the Fermi level	0.77	states/eV/f.u.

The structure in CIF format:
```
data_ZrAlCd2
_space_group_name_H-M_alt 'P 1'
_space_group_IT_number 1
_cell_length_a 5.989
_cell_length_b 5.989
_cell_length_c 2.886
_cell_angle_alpha 79.02
_cell_angle_beta 79.02
_cell_angle_gamma 120.57
loop_
_space_group_symop_operation_xyz
'x,y,z'
loop_
_atom_site_label
_atom_site_type_symbol
_atom_site_fract_x
_atom_site_fract_y
_atom_site_fract_z
_atom_site_occupancy
Al1 Al 0.000 0.500 0.500 1
Zr1 Zr 0.500 0.000 0.500 1
Cd1 Cd 0.000 0.000 0.000 1
Cd2 Cd 0.500 0.500 0.000 1
```

*iii*
Material: ZrAlCd2
Method: DFT, PBE
State: optimized geometry

Output
space-group type	Cmmm, No. 65
total magnetization	0.00	μB/cell
density of states at the Fermi level	3.40	states/eV/f.u.

The structure in CIF format:
```
data_ZrAlCd2
_space_group_name_H-M_alt 'P 1'
_space_group_IT_number 1
_cell_length_a 5.535
_cell_length_b 5.535
_cell_length_c 3.043
_cell_angle_alpha 90.00
_cell_angle_beta 90.00
_cell_angle_gamma 115.61
loop_
_space_group_symop_operation_xyz
'x,y,z'
loop_
_atom_site_label
_atom_site_type_symbol
_atom_site_fract_x
_atom_site_fract_y
_atom_site_fract_z
_atom_site_occupancy
Al1 Al 0.000 0.500 0.500 1
Zr1 Zr 0.500 0.000 0.500 1
Cd1 Cd 0.000 0.000 0.000 1
Cd2 Cd 0.500 0.500 0.000 1
```

Best to worst by energy: *ii*, *i*, *iii*.